Mn2TeO4 | the Alexandria database | PBE with a Hubbard U | optimized geometry; energy = -6.196 eV per atom; density of states at the Fermi level = 0.371 states/eV per atom; SG = No. 97; crystal system = tetragonal
1.0
5.6866 0.0000 0.0000
0.0000 5.6866 0.0000
0.0000 0.0000 5.5050
Mn Te O
4 2 8
Cartesian
0.0000 2.8433 0.0000
0.0000 2.8433 2.7525
2.8433 0.0000 0.0000
2.8433 0.0000 2.7525
0.0000 0.0000 0.0000
2.8433 2.8433 2.7525
1.1154 1.7279 4.1288
1.1154 3.9587 1.3763
1.7279 1.1154 1.3763
1.7279 4.5712 4.1288
3.9587 1.1154 4.1288
3.9587 4.5712 1.3763
4.5712 1.7279 1.3763
4.5712 3.9587 4.1288